# 1
Entry from Alexandria via LeMat-Bulk: a PBEsol-optimized structure of SrTiO3 (meta-GGA SCAN).

a b c (Å): 5.560 5.560 13.719
angles (deg): 90.00 90.00 120.00
Fractional coordinates of all 30 atoms:
Sr  0.333  0.667  0.395
Sr  0.000  0.000  0.250
Sr  0.000  0.000  0.750
Sr  0.333  0.667  0.105
Sr  0.667  0.333  0.895
Sr  0.667  0.333  0.605
Ti  0.333  0.667  0.653
Ti  0.000  0.000  0.500
Ti  0.000  0.000  0.000
Ti  0.333  0.667  0.847
Ti  0.667  0.333  0.347
Ti  0.667  0.333  0.153
O  0.164  0.836  0.582
O  0.164  0.836  0.918
O  0.490  0.980  0.750
O  0.020  0.510  0.750
O  0.671  0.836  0.582
O  0.671  0.836  0.918
O  0.490  0.510  0.750
O  0.836  0.671  0.418
O  0.836  0.671  0.082
O  0.164  0.329  0.918
O  0.164  0.329  0.582
O  0.510  0.490  0.250
O  0.980  0.490  0.250
O  0.329  0.164  0.082
O  0.329  0.164  0.418
O  0.510  0.020  0.250
O  0.836  0.164  0.082
O  0.836  0.164  0.418

Properties
ΔE_f (raw) ... -17.10 eV per formula unit
N(E_F) ... 0.00 states/eV/cell

# 2
Entry from Alexandria via LeMat-Bulk: a PBEsol-optimized structure of Sr4Zr3TiO12 (meta-GGA SCAN).

a b c (Å): 5.711 5.727 8.099
angles (deg): 89.95 90.05 90.07
Fractional coordinates of all 20 atoms:
Sr  0.504  0.974  0.243
Sr  0.997  0.477  0.242
Sr  0.496  0.026  0.757
Sr  0.003  0.523  0.758
Zr  0.000  0.000  0.500
Zr  0.500  0.500  0.500
Zr  0.000  0.000  0.000
Ti  0.500  0.500  0.000
O  0.439  0.510  0.241
O  0.068  0.017  0.249
O  0.561  0.490  0.759
O  0.932  0.983  0.751
O  0.725  0.239  0.031
O  0.797  0.703  0.464
O  0.298  0.797  0.533
O  0.239  0.275  0.967
O  0.275  0.761  0.969
O  0.203  0.297  0.536
O  0.702  0.203  0.467
O  0.761  0.725  0.033

Properties
ΔE_f (raw) ... -71.54 eV per formula unit
N(E_F) ... 0.00 states/eV/cell

# 3
Entry from Alexandria via LeMat-Bulk: a PBEsol-optimized structure of Sr3ZrTi2O9 (meta-GGA SCAN).

a b c (Å): 5.622 5.622 12.475
angles (deg): 102.79 102.79 90.85
Fractional coordinates of all 30 atoms:
Sr  0.580  0.079  0.160
Sr  0.921  0.420  0.840
Sr  0.248  0.752  0.500
Sr  0.420  0.921  0.840
Sr  0.752  0.248  0.500
Sr  0.079  0.580  0.160
Zr  0.666  0.666  0.334
Zr  0.334  0.334  0.666
Ti  0.500  0.500  0.000
Ti  0.165  0.165  0.329
Ti  0.835  0.835  0.671
Ti  0.000  0.000  0.000
O  0.381  0.381  0.840
O  0.709  0.709  0.506
O  0.044  0.044  0.163
O  0.619  0.619  0.160
O  0.956  0.956  0.837
O  0.291  0.291  0.494
O  0.739  0.739  0.977
O  0.063  0.063  0.640
O  0.392  0.392  0.301
O  0.261  0.261  0.023
O  0.608  0.608  0.699
O  0.937  0.937  0.360
O  0.750  0.250  0.000
O  0.407  0.922  0.331
O  0.078  0.593  0.669
O  0.250  0.750  0.000
O  0.922  0.407  0.331
O  0.593  0.078  0.669

Properties
ΔE_f (raw) ... -52.58 eV per formula unit
N(E_F) ... 0.00 states/eV/cell

Question: N(E_F) of number 2 (Sr4Zr3TiO12)?
Answer: 0.00 states/eV/cell

Question: Look up the N(E_F) of the third one.
Answer: 0.00 states/eV/cell